# GGA-PBE In3Cu2, optimized geometry
# **ΔE_f**: 0.1083 eV per atom
# **DFT total energy**: -3.17 eV/atom
# **ρ**: 7.7 g cm⁻³
data_In3Cu2
_cell_length_a 12.841
_cell_length_b 13.324
_cell_length_c 4.739
_cell_angle_alpha 90.00
_cell_angle_beta 90.00
_cell_angle_gamma 90.00
_symmetry_space_group_name_H-M 'F d d 2'
_symmetry_Int_Tables_number 43
_symmetry_space_group_name_Hall 'F 2 -2d'
loop_
_atom_site_label
_atom_site_type_symbol
_atom_site_fract_x
_atom_site_fract_y
_atom_site_fract_z
In1 In 0.000 0.000 0.000
In2 In 0.120 0.397 0.939
Cu1 Cu 0.036 0.220 0.179